Nd2PuIn2Rh5 | PBE | optimized geometry

Lattice parameters (Å, degrees): 10.4068 10.4068 3.7667 90.00 90.00 90.00
Space group P4/mbm (No. 127)
Symmetry-distinct sites (fractional):
1 Nd 0.1686 0.3314 0.0000 [4 per cell]
2 Pu 0.0000 0.0000 0.0000 [2 per cell]
3 In 0.1291 0.6291 0.0000 [4 per cell]
4 Rh 0.0000 0.5000 0.5000 [2 per cell]
5 Rh 0.0596 0.8038 0.5000 [8 per cell]

Results
**D(E_F)**: 14.05 states/eV/f.u.
**Formation energy from the elements**: -0.4513 eV/atom

---

La2ReIr | PBE | optimized geometry

Lattice parameters (Å, degrees): 2.9722 3.7968 8.8116 90.00 90.00 90.00
Space group Pmm2 (No. 25)
Symmetry-distinct sites (fractional):
1 La 0.0000 0.0000 0.0000 [1 per cell]
2 La 0.5000 0.5000 0.3927 [1 per cell]
3 Re 0.0000 0.0000 0.6447 [1 per cell]
4 Ir 0.5000 0.5000 0.7608 [1 per cell]

Results
**Distance to the lowest polymorph of the same formula**: 277 meV/atom
**D(E_F)**: 5.33 states/eV/f.u.
**Formation energy from the elements**: 0.1202 eV/atom

---

NdAsSe | PBE | optimized geometry

Lattice parameters (Å, degrees): 9.6459 4.6630 8.9690 90.00 94.60 90.00
Space group C2/m (No. 12)
Symmetry-distinct sites (fractional):
1 Nd 0.2210 0.0000 0.1956 [4 per cell]
2 As 0.0898 0.0000 0.8759 [4 per cell]
3 Se 0.1901 0.0000 0.6284 [4 per cell]

Results
**D(E_F)**: 0.05 states/eV/f.u.
**Raw formation energy**: -0.990 eV/atom

---

DyPBr | PBE | optimized geometry

Lattice parameters (Å, degrees): 11.4422 12.5275 8.8063 90.00 90.00 90.00
Space group Fdd2 (No. 43)
Symmetry-distinct sites (fractional):
1 Dy 0.0274 0.2009 0.0000 [16 per cell]
2 P 0.0968 0.4878 0.5340 [16 per cell]
3 Br 0.1243 0.1707 0.7023 [16 per cell]

Results
**Distance to the lowest polymorph of the same formula**: 67 meV/atom
**Raw formation energy**: -1.339 eV/atom

---

LaPmS2 | PBE | optimized geometry

Lattice parameters (Å, degrees): 4.0535 4.0535 13.6899 90.00 90.00 120.00
Space group P6_3/mmc (No. 194)
Symmetry-distinct sites (fractional):
1 La 0.0000 0.0000 0.0000 [2 per cell]
2 Pm 0.3333 0.6667 0.2500 [2 per cell]
3 S 0.3333 0.6667 0.6267 [4 per cell]

Results
**Distance to the lowest polymorph of the same formula**: 25 meV/atom
**D(E_F)**: 1.36 states/eV/f.u.
**Raw formation energy**: -2.082 eV/atom

---

Cr2Si2N | PBE | optimized geometry

Lattice parameters (Å, degrees): 5.4743 5.4743 4.0081 90.00 90.00 90.00
Space group P4/mbm (No. 127)
Symmetry-distinct sites (fractional):
1 Cr 0.1606 0.3394 0.0000 [4 per cell]
2 Si 0.1583 0.6583 0.5000 [4 per cell]
3 N 0.0000 0.0000 0.5000 [2 per cell]

Results
**Distance to the lowest polymorph of the same formula**: 0 meV/atom
**D(E_F)**: 2.50 states/eV/f.u.
**Raw formation energy**: 0.615 eV/atom

---

SrMg2Cu | PBE | optimized geometry

Lattice parameters (Å, degrees): 5.3988 5.3988 17.7994 90.00 90.00 90.00
Space group I-42d (No. 122)
Symmetry-distinct sites (fractional):
1 Sr 0.0000 0.0000 0.0000 [4 per cell]
2 Mg 0.0049 0.2500 0.6250 [8 per cell]
3 Cu 0.0000 0.0000 0.5000 [4 per cell]

Results
**D(E_F)**: 3.14 states/eV/f.u.
**Formation energy from the elements**: 0.2606 eV/atom

---

Tb2PrErBi4 | PBE | optimized geometry

Lattice parameters (Å, degrees): 7.8264 4.5235 7.8306 90.00 109.49 90.00
Space group P2/m (No. 10)
Symmetry-distinct sites (fractional):
1 Tb 0.0000 0.0000 0.0000 [1 per cell]
2 Tb 0.5000 0.5000 0.0000 [1 per cell]
3 Pr 0.0000 0.5000 0.5000 [1 per cell]
4 Er 0.5000 0.0000 0.5000 [1 per cell]
5 Bi 0.2554 0.5000 0.2489 [2 per cell]
6 Bi 0.2576 0.0000 0.7553 [2 per cell]

Results
**D(E_F)**: 1.22 states/eV/f.u.
**Formation energy from the elements**: -0.8752 eV/atom

---

ErPuSb2 | PBE | optimized geometry

Lattice parameters (Å, degrees): 4.3982 4.3982 21.4057 90.00 90.00 120.00
Space group R-3m (No. 166, hexagonal axes)
Symmetry-distinct sites (fractional):
1 Er 0.0000 0.0000 0.0000 [3 per cell]
2 Pu 0.0000 0.0000 0.5000 [3 per cell]
3 Sb 0.0000 0.0000 0.2510 [6 per cell]

Results
**Distance to the lowest polymorph of the same formula**: 0 meV/atom
**D(E_F)**: 13.64 states/eV/f.u.
**Raw formation energy**: -0.844 eV/atom

---

Tb3ErMg4 | PBE | optimized geometry

Lattice parameters (Å, degrees): 3.7869 3.7869 15.1934 90.00 90.00 90.00
Space group P4/mmm (No. 123)
Symmetry-distinct sites (fractional):
1 Tb 0.0000 0.0000 0.0000 [1 per cell]
2 Tb 0.0000 0.0000 0.2514 [2 per cell]
3 Er 0.0000 0.0000 0.5000 [1 per cell]
4 Mg 0.5000 0.5000 0.1256 [2 per cell]
5 Mg 0.5000 0.5000 0.3772 [2 per cell]

Results
**D(E_F)**: 10.39 states/eV/f.u.
**Formation energy from the elements**: -0.0815 eV/atom

---

LaCe4Sn2 | PBE | optimized geometry

Lattice parameters (Å, degrees): 4.2448 4.2448 21.2751 90.00 90.00 90.00
Space group I4/mmm (No. 139)
Symmetry-distinct sites (fractional):
1 La 0.0000 0.0000 0.0000 [2 per cell]
2 Ce 0.0000 0.0000 0.1509 [4 per cell]
3 Ce 0.0000 0.5000 0.2500 [4 per cell]
4 Sn 0.0000 0.0000 0.4162 [4 per cell]

Results
**D(E_F)**: 15.90 states/eV/f.u.
**Formation energy from the elements**: -0.1429 eV/atom

---

TbSnIrRu | PBE | optimized geometry

Lattice parameters (Å, degrees): 6.6426 6.6426 6.6426 90.00 90.00 90.00
Space group F-43m (No. 216)
Symmetry-distinct sites (fractional):
1 Tb 0.0000 0.0000 0.0000 [4 per cell]
2 Sn 0.0000 0.0000 0.5000 [4 per cell]
3 Ir 0.2500 0.2500 0.7500 [4 per cell]
4 Ru 0.2500 0.2500 0.2500 [4 per cell]

Results
**D(E_F)**: 0.81 states/eV/f.u.
**Formation energy from the elements**: -0.4763 eV/atom

---

| no. | E (eV/atom) | calculated density (g cm⁻³) |
| --- | --- | --- |
| 1 | -7.06 | 10.4 |
| 2 | -7.67 | 11.0 |
| 3 | -5.29 | 4.9 |
| 4 | -5.23 | 5.8 |
| 5 | -6.57 | 5.9 |
| 6 | -7.07 | 4.8 |
| 7 | -1.98 | 2.6 |
| 8 | -5.14 | 9.3 |
| 9 | -7.63 | 9.1 |
| 10 | -3.19 | 5.6 |
| 11 | -5.38 | 8.1 |
| 12 | -7.17 | 12.9 |